This record from Alexandria describes crystalline PaVFe2O8 at its relaxed geometry. The functional is PBE+U.

- ρ (Mg/m³) = 5.8
- calculated total energy (eV for the cell shown) = -91.06
- space group = I-4m2, No. 119

Lattice parameters (Å, degrees): 5.7774 5.7774 5.7774 110.18 110.18 108.06
Last column: nearest neighbours and their distance in Å.
Positions (direct):
Pa1 0.0000 0.0000 0.0000  4 O 2.10
V1 0.7500 0.2500 0.5000  4 O 1.92
Fe1 0.2500 0.7500 0.5000  4 O 1.86
Fe2 0.5000 0.5000 0.0000  4 O 1.91
O1 0.0455 0.3592 0.3137  1 Fe 1.86
O2 0.0455 0.7318 0.6863  1 Fe 1.86
O3 0.0981 0.3166 0.7815  1 Fe 1.91, 1 V 1.92
O4 0.2682 0.9545 0.3137  1 Fe 1.86
O5 0.5351 0.3166 0.2185  1 Fe 1.91, 1 V 1.92
O6 0.6408 0.9545 0.6863  1 Fe 1.86
O7 0.6834 0.4649 0.7815  1 Fe 1.91, 1 V 1.92
O8 0.6834 0.9019 0.2185  1 Fe 1.91, 1 V 1.92